Record 1
The following is a DFT calculation (PBE-GGA) of a relaxed Mg3MnW crystal.

Values from the calculation:
For the formation energy, the calculation gives 821 kJ/mol of formula units. The crystal system is cubic. The value obtained for the energy above the most stable polymorph in this dataset is 0.0000 eV per atom.

The structure in extended XYZ format:
```
5
Lattice="4.6150 0.0000 0.0000 0.0000 4.6150 0.0000 0.0000 0.0000 4.6150" Properties=species:S:1:pos:R:3 pbc="T T T"
Mg 0.0000 0.0000 2.3075
Mg 0.0000 2.3075 0.0000
Mg 2.3075 0.0000 0.0000
Mn 0.0000 0.0000 0.0000
W 2.3075 2.3075 2.3075
```

Record 2
The following is a DFT calculation (PBE-GGA) of a relaxed Sr2PmNpN4 crystal.

Values from the calculation:
The crystal system is monoclinic. For the energy relative to the elements, uncorrected, the calculation gives -1.09 eV per atom.

The structure in extended XYZ format:
```
8
Lattice="6.2008 0.0000 0.0000 0.0000 3.6245 0.0000 -2.0519 0.0000 6.0038" Properties=species:S:1:pos:R:3 pbc="T T T"
Sr 0.0000 0.0000 0.0000
Sr 3.1004 1.8123 0.0000
Pm -1.0259 1.8123 3.0019
Np 2.0745 0.0000 3.0019
N 0.2618 0.0000 4.1927
N 1.1313 1.8123 1.7614
N 3.0176 1.8123 4.2424
N 3.8871 0.0000 1.8110
```

Record 3
The following is a DFT calculation (PBE-GGA) of a relaxed PrNd4Er6 crystal.

Values from the calculation:
For the formation energy, the calculation gives 329 kJ/mol of formula units. The crystal system is tetragonal. The value obtained for the energy above the most stable polymorph in this dataset is 0.1590 eV per atom.

The structure in extended XYZ format:
```
11
Lattice="-3.3437 3.3437 8.4727 3.3437 -3.3437 8.4727 3.3437 3.3437 -8.4727" Properties=species:S:1:pos:R:3 pbc="T T T"
Pr 0.0000 0.0000 0.0000
Nd 1.2736 1.2736 -2.9792
Nd 2.0701 -2.0701 11.4519
Nd 2.0701 2.0701 5.4936
Nd -2.0701 2.0701 11.4519
Er 3.3437 0.0000 0.0000
Er 1.1876 -1.1876 6.3722
Er 2.1560 2.1560 2.1005
Er 0.0000 3.3437 0.0000
Er -1.1876 1.1876 6.3722
Er 1.1876 1.1876 10.5733
```

Please write out number 1 again, unchanged.
The following is a DFT calculation (PBE-GGA) of a relaxed Mg3MnW crystal.

Values from the calculation:
For the formation energy, the calculation gives 821 kJ/mol of formula units. The crystal system is cubic. The value obtained for the energy above the most stable polymorph in this dataset is 0.0000 eV per atom.

The structure in extended XYZ format:
```
5
Lattice="4.6150 0.0000 0.0000 0.0000 4.6150 0.0000 0.0000 0.0000 4.6150" Properties=species:S:1:pos:R:3 pbc="T T T"
Mg 0.0000 0.0000 2.3075
Mg 0.0000 2.3075 0.0000
Mg 2.3075 0.0000 0.0000
Mn 0.0000 0.0000 0.0000
W 2.3075 2.3075 2.3075
```

What did the third record say?
The following is a DFT calculation (PBE-GGA) of a relaxed PrNd4Er6 crystal.

Values from the calculation:
For the formation energy, the calculation gives 329 kJ/mol of formula units. The crystal system is tetragonal. The value obtained for the energy above the most stable polymorph in this dataset is 0.1590 eV per atom.

The structure in extended XYZ format:
```
11
Lattice="-3.3437 3.3437 8.4727 3.3437 -3.3437 8.4727 3.3437 3.3437 -8.4727" Properties=species:S:1:pos:R:3 pbc="T T T"
Pr 0.0000 0.0000 0.0000
Nd 1.2736 1.2736 -2.9792
Nd 2.0701 -2.0701 11.4519
Nd 2.0701 2.0701 5.4936
Nd -2.0701 2.0701 11.4519
Er 3.3437 0.0000 0.0000
Er 1.1876 -1.1876 6.3722
Er 2.1560 2.1560 2.1005
Er 0.0000 3.3437 0.0000
Er -1.1876 1.1876 6.3722
Er 1.1876 1.1876 10.5733
```